(1)
A geometry-optimized Ca2YIr structure. Source: the Alexandria database, functional PBE.

Computed properties:
- E_form: 188 meV per atom
- Polymorph energy (0 for the lowest one): 506 meV per atom

Unit cell a=6.0032 b=9.8643 c=3.4494 alpha=90.00 beta=90.00 gamma=90.00
Last column: nearest neighbours and their distance in Å.
Space group Cmmm (No. 65)
One atom of each set of equivalent atoms:
Ca (0.2500, 0.2500, 0.0000) (multiplicity 4)  2 Ca 3.00
Y (0.0000, 0.0000, 0.5000) (multiplicity 2)  2 Ir 3.00
Ir (0.0000, 0.5000, 0.5000) (multiplicity 2)  2 Y 3.00

***

(2)
A geometry-optimized SrHfSc2Ir structure. Source: the Alexandria database, functional PBE.

Computed properties:
- E_form: 332 meV per atom

Unit cell a=5.0595 b=5.0595 c=5.6272 alpha=90.00 beta=90.00 gamma=90.00
Last column: nearest neighbours and their distance in Å.
Space group P4/mmm (No. 123)
One atom of each set of equivalent atoms:
Sr (0.0000, 0.0000, 0.0000) (multiplicity 1)  2 Ir 2.81
Hf (0.5000, 0.5000, 0.0000) (multiplicity 1)  4 Sr 3.58, 8 Sc 3.78
Sc (0.0000, 0.5000, 0.5000) (multiplicity 2)  2 Ir 2.53
Ir (0.0000, 0.0000, 0.5000) (multiplicity 1)  4 Sc 2.53, 2 Sr 2.81

***

(3)
A geometry-optimized BeAlSi structure. Source: the Alexandria database, functional PBE.

Computed properties:
- ΔE_f (raw): 0.173 eV per atom

Unit cell a=3.5384 b=4.3180 c=5.8480 alpha=90.00 beta=96.45 gamma=90.00
Last column: nearest neighbours and their distance in Å.
Space group Pm (No. 6)
One atom of each set of equivalent atoms:
Be (0.0000, 0.2468, 0.0000) (multiplicity 2)  2 Be 2.13-2.19, 3 Si 2.24-2.28
Al (0.3724, 0.5000, 0.3498) (multiplicity 1)  4 Si 2.50-2.57, 2 Be 2.55
Al (0.4366, 0.0000, 0.7074) (multiplicity 1)  4 Be 2.65-2.70, 5 Si 2.67-2.83
Si (0.5307, 0.0000, 0.1674) (multiplicity 1)  4 Be 2.28, 2 Al 2.50
Si (0.9422, 0.5000, 0.6638) (multiplicity 1)  2 Be 2.24

***

no.,N(E_F) (states/eV per cell)
1,6.51
2,6.47
3,0.84